1.
# Cs2ZrHCl6

A relaxed Cs2ZrHCl6 crystal (GGA-PBE, the Alexandria database).

Unit cell a=7.6971 b=7.6971 c=7.6941 alpha=59.99 beta=59.99 gamma=90.00
Last column: magnetic moment on the atom in μB.
Fractional coordinates of all 10 atoms:
Cs 0.7500 0.2500 0.5000  0.00
Cs 0.2500 0.7500 0.5000  0.00
H 0.5000 0.5000 0.0000  0.38
Zr 0.0000 0.0000 0.0000  0.02
Cl 0.2293 0.2293 0.5414  0.01
Cl 0.7707 0.7707 0.4586  0.01
Cl 0.2291 0.2291 0.0000  0.01
Cl 0.7709 0.7709 0.0000  0.01
Cl 0.7709 0.2291 0.0000  0.01
Cl 0.2291 0.7709 0.0000  0.01

Values from the calculation:
- Total magnetization: 1.000 μB per cell
- Calculated total energy: -4.033 eV per atom


2.
# Cs2HfCl

A relaxed Cs2HfCl crystal (GGA-PBE, the Alexandria database).

Unit cell a=6.5896 b=6.5896 c=6.5896 alpha=60.00 beta=60.00 gamma=60.00
Last column: magnetic moment on the atom in μB.
Fractional coordinates of all 4 atoms:
Cs 0.2500 0.2500 0.2500  0.04
Cs 0.7500 0.7500 0.7500  0.04
Hf 0.5000 0.5000 0.5000  1.59
Cl 0.0000 0.0000 0.0000  0.01

Values from the calculation:
- Relative energy among the computed polymorphs: 2.56 kcal/mol of atoms
- Total magnetization: 3.000 μB per cell
- Formation energy without anion corrections: 0.499 eV/atom


3.
# Cs3HfCl8

A relaxed Cs3HfCl8 crystal (GGA-PBE, the Alexandria database).

Unit cell a=8.5648 b=8.3688 c=8.5648 alpha=59.22 beta=90.00 gamma=120.78
Last column: magnetic moment on the atom in μB.
Fractional coordinates of all 12 atoms:
Cs 0.7500 0.5000 0.7500  0.00
Cs 0.2500 0.5000 0.2500  0.00
Cs 0.5000 0.0000 0.5000  0.00
Hf 0.0000 0.0000 0.0000  -0.01
Cl 0.3150 0.3885 0.9265  0.16
Cl 0.0735 0.3885 0.6850  0.16
Cl 0.6850 0.6115 0.3150  0.16
Cl 0.9265 0.6115 0.0735  0.16
Cl 0.7409 0.8901 0.8507  0.05
Cl 0.1493 0.8901 0.2591  0.05
Cl 0.2591 0.1099 0.7409  0.05
Cl 0.8507 0.1099 0.1493  0.05

Values from the calculation:
- Total magnetization: 1.099 μB per cell
- Formation energy without anion corrections: -1.678 eV/atom


4.
# Cs2HfCl

A relaxed Cs2HfCl crystal (GGA-PBE, the Alexandria database).

Unit cell a=8.3190 b=8.3190 c=8.3190 alpha=106.61 beta=106.61 gamma=115.36
Last column: magnetic moment on the atom in μB.
Fractional coordinates of all 8 atoms:
Cs 0.8139 0.3750 0.9389  0.03
Cs 0.4361 0.8750 0.0611  0.03
Cs 0.1250 0.1861 0.5611  0.03
Cs 0.6250 0.5639 0.4389  0.03
Hf 0.0000 0.0000 0.0000  1.48
Hf 0.2500 0.7500 0.5000  1.48
Cl 0.5000 0.5000 0.0000  0.01
Cl 0.7500 0.2500 0.5000  0.01

Values from the calculation:
- Relative energy among the computed polymorphs: 0.00 kcal/mol of atoms
- Total magnetization: 6.002 μB per cell
- Formation energy without anion corrections: 0.388 eV/atom


5.
# Cs3HfCl

A relaxed Cs3HfCl crystal (GGA-PBE, the Alexandria database).

Unit cell a=7.0964 b=7.0964 c=7.0964 alpha=90.00 beta=90.00 gamma=90.00
Last column: magnetic moment on the atom in μB.
Fractional coordinates of all 5 atoms:
Cs 0.0000 0.5000 0.0000  0.07
Cs 0.0000 0.0000 0.5000  0.07
Cs 0.5000 0.0000 0.0000  0.05
Hf 0.0000 0.0000 0.0000  1.66
Cl 0.5000 0.5000 0.5000  0.01

Values from the calculation:
- Total magnetization: 4.000 μB per cell
- Formation energy without anion corrections: 0.504 eV/atom


6.
# CsHfCl2

A relaxed CsHfCl2 crystal (GGA-PBE, the Alexandria database).

Unit cell a=5.5566 b=5.5566 c=5.5566 alpha=60.00 beta=60.00 gamma=60.00
Last column: magnetic moment on the atom in μB.
Fractional coordinates of all 4 atoms:
Cs 0.0000 0.0000 0.0000  0.06
Hf 0.5000 0.5000 0.5000  1.58
Cl 0.2500 0.2500 0.2500  0.05
Cl 0.7500 0.7500 0.7500  0.05

Values from the calculation:
- Total magnetization: 2.866 μB per cell
- Formation energy without anion corrections: -0.192 eV/atom


7.
# CsHfCl5

A relaxed CsHfCl5 crystal (GGA-PBE, the Alexandria database).

Unit cell a=7.8750 b=7.8750 c=10.7084 alpha=85.88 beta=115.18 gamma=121.28
Fractional coordinates of all 14 atoms:
Cs 0.7497 0.4997 0.2500
Cs 0.2503 0.5003 0.7500
Hf 0.0000 0.0000 0.0000
Hf 0.5000 0.0000 0.5000
Cl 0.7131 0.9122 0.0693
Cl 0.2057 0.9064 0.5634
Cl 0.6571 0.3562 0.5693
Cl 0.2558 0.0058 0.2500
Cl 0.8430 0.6424 0.9366
Cl 0.1570 0.3577 0.0634
Cl 0.7442 0.9942 0.7500
Cl 0.3429 0.6438 0.4307
Cl 0.7943 0.0936 0.4366
Cl 0.2869 0.0878 0.9307

Values from the calculation:
- Total magnetization: 0.000 μB per cell
- Formation energy without anion corrections: -1.906 eV/atom


8.
# Cs2HfHgCl6

A relaxed Cs2HfHgCl6 crystal (GGA-PBE, the Alexandria database).

Unit cell a=8.2289 b=8.2289 c=8.2308 alpha=60.01 beta=60.01 gamma=90.00
Fractional coordinates of all 10 atoms:
Cs 0.7500 0.2500 0.5000
Cs 0.2500 0.7500 0.5000
Hf 0.5000 0.5000 0.0000
Hg 0.0000 0.0000 0.0000
Cl 0.2886 0.2886 0.4228
Cl 0.7114 0.7114 0.5772
Cl 0.2885 0.2885 0.0000
Cl 0.7115 0.7115 0.0000
Cl 0.7115 0.2885 0.0000
Cl 0.2885 0.7115 0.0000

Values from the calculation:
- Relative energy among the computed polymorphs: 0.79 kcal/mol of atoms
- Total magnetization: 0.000 μB per cell
- Formation energy without anion corrections: -1.752 eV/atom


9.
# Cs2HfHgCl6

A relaxed Cs2HfHgCl6 crystal (GGA-PBE, the Alexandria database).

Unit cell a=7.4608 b=7.4608 c=19.7897 alpha=79.13 beta=79.13 gamma=60.00
Fractional coordinates of all 20 atoms:
Cs 0.8581 0.8581 0.4256
Cs 0.1419 0.1419 0.5744
Cs 0.6912 0.6912 0.9263
Cs 0.3088 0.3088 0.0737
Hf 0.0000 0.0000 0.0000
Hf 0.5000 0.5000 0.5000
Hg 0.5848 0.5848 0.2455
Hg 0.4152 0.4152 0.7545
Cl 0.8369 0.3682 0.4267
Cl 0.3682 0.8369 0.4267
Cl 0.3682 0.3682 0.4267
Cl 0.1631 0.6318 0.5733
Cl 0.6318 0.1631 0.5733
Cl 0.6318 0.6318 0.5733
Cl 0.7122 0.1806 0.9266
Cl 0.1806 0.7122 0.9266
Cl 0.1806 0.1806 0.9266
Cl 0.2878 0.8194 0.0734
Cl 0.8194 0.2878 0.0734
Cl 0.8194 0.8194 0.0734

Values from the calculation:
- Relative energy among the computed polymorphs: 0.00 kcal/mol of atoms
- Total magnetization: 0.000 μB per cell
- Formation energy without anion corrections: -1.787 eV/atom


10.
# Cs2HfHg2Cl6

A relaxed Cs2HfHg2Cl6 crystal (GGA-PBE, the Alexandria database).

Unit cell a=8.3829 b=8.3829 c=8.9080 alpha=100.93 beta=100.93 gamma=120.79
Fractional coordinates of all 11 atoms:
Cs 0.3322 0.6678 0.5000
Cs 0.6678 0.3322 0.5000
Hf 0.0000 0.0000 0.5000
Hg 0.7977 0.2023 0.0000
Hg 0.2023 0.7977 0.0000
Cl 0.8256 0.8256 0.6713
Cl 0.0722 0.3127 0.6730
Cl 0.1744 0.1744 0.3287
Cl 0.3127 0.0722 0.6730
Cl 0.9278 0.6873 0.3270
Cl 0.6873 0.9278 0.3270

Values from the calculation:
- Total magnetization: 0.000 μB per cell
- Formation energy without anion corrections: -1.591 eV/atom


11.
# Cs2HfI4Cl2

A relaxed Cs2HfI4Cl2 crystal (GGA-PBE, the Alexandria database).

Unit cell a=6.9341 b=8.0193 c=8.0193 alpha=62.69 beta=83.20 gamma=83.20
Fractional coordinates of all 9 atoms:
Cs 0.2110 0.6628 0.6628
Cs 0.7890 0.3372 0.3372
Hf 0.5000 0.0000 0.0000
I 0.2994 0.6597 0.1506
I 0.7006 0.8494 0.3403
I 0.7006 0.3403 0.8494
I 0.2994 0.1506 0.6597
Cl 0.2419 0.1394 0.1394
Cl 0.7581 0.8606 0.8606

Values from the calculation:
- Total magnetization: 0.000 μB per cell
- Formation energy without anion corrections: -1.485 eV/atom


12.
# Cs2HfInCl6

A relaxed Cs2HfInCl6 crystal (GGA-PBE, the Alexandria database).

Unit cell a=8.4969 b=8.4969 c=12.7732 alpha=70.57 beta=70.57 gamma=60.00
Last column: magnetic moment on the atom in μB.
Fractional coordinates of all 20 atoms:
Cs 0.8702 0.8702 0.3895  0.00
Cs 0.1298 0.1298 0.6105  0.00
Cs 0.7211 0.7211 0.8366  0.00
Cs 0.2789 0.2789 0.1634  0.00
Hf 0.0000 0.0000 0.0000  0.06
Hf 0.5000 0.5000 0.5000  -0.01
In 0.5894 0.5894 0.2319  0.00
In 0.4106 0.4106 0.7681  0.00
Cl 0.8505 0.3756 0.3983  0.00
Cl 0.3756 0.8505 0.3983  0.00
Cl 0.3756 0.3756 0.3983  0.00
Cl 0.1495 0.6244 0.6017  0.00
Cl 0.6244 0.1495 0.6017  0.00
Cl 0.6244 0.6244 0.6017  0.00
Cl 0.7701 0.1761 0.8778  0.00
Cl 0.1761 0.7701 0.8778  0.00
Cl 0.1761 0.1761 0.8778  0.00
Cl 0.2299 0.8239 0.1222  0.00
Cl 0.8239 0.2299 0.1222  0.00
Cl 0.8239 0.8239 0.1222  0.00

Values from the calculation:
- Total magnetization: 0.073 μB per cell
- Formation energy without anion corrections: -1.622 eV/atom


13.
# CsHfInCl6

A relaxed CsHfInCl6 crystal (GGA-PBE, the Alexandria database).

Unit cell a=7.6824 b=7.6824 c=13.8360 alpha=90.00 beta=90.00 gamma=120.00
Fractional coordinates of all 18 atoms:
Cs 0.0000 0.0000 0.0000
Cs 0.0000 0.0000 0.5000
Hf 0.6667 0.3333 0.2500
Hf 0.3333 0.6667 0.7500
In 0.3333 0.6667 0.2500
In 0.6667 0.3333 0.7500
Cl 0.6599 0.5922 0.1470
Cl 0.9323 0.3401 0.1470
Cl 0.3401 0.9323 0.6470
Cl 0.0677 0.6599 0.8530
Cl 0.4078 0.3401 0.3530
Cl 0.9323 0.5922 0.3530
Cl 0.5922 0.9323 0.8530
Cl 0.6599 0.0677 0.3530
Cl 0.0677 0.4078 0.6470
Cl 0.4078 0.0677 0.1470
Cl 0.5922 0.6599 0.6470
Cl 0.3401 0.4078 0.8530

Values from the calculation:
- Total magnetization: 0.000 μB per cell
- Formation energy without anion corrections: -1.719 eV/atom


14.
# Cs2KHfCl6

A relaxed Cs2KHfCl6 crystal (GGA-PBE, the Alexandria database).

Unit cell a=7.6380 b=7.6380 c=15.0191 alpha=75.27 beta=75.27 gamma=60.00
Last column: magnetic moment on the atom in μB.
Fractional coordinates of all 20 atoms:
Cs 0.8639 0.8639 0.4082  0.00
Cs 0.1361 0.1361 0.5918  0.00
Cs 0.6969 0.6969 0.9092  0.00
Cs 0.3031 0.3031 0.0908  0.00
K 0.5865 0.5865 0.2404  0.01
K 0.4135 0.4135 0.7596  0.01
Hf 0.0000 0.0000 0.0000  0.67
Hf 0.5000 0.5000 0.5000  0.63
Cl 0.8495 0.3752 0.4000  0.00
Cl 0.3752 0.8495 0.4000  0.00
Cl 0.3752 0.3752 0.4000  0.00
Cl 0.1505 0.6248 0.6000  0.00
Cl 0.6248 0.1505 0.6000  0.00
Cl 0.6248 0.6248 0.6000  0.00
Cl 0.7224 0.1899 0.8977  0.00
Cl 0.1899 0.7224 0.8977  0.00
Cl 0.1899 0.1899 0.8977  0.00
Cl 0.2776 0.8101 0.1023  0.00
Cl 0.8101 0.2776 0.1023  0.00
Cl 0.8101 0.8101 0.1023  0.00

Values from the calculation:
- Relative energy among the computed polymorphs: 0.18 kcal/mol of atoms
- Total magnetization: 2.017 μB per cell
- Formation energy without anion corrections: -1.852 eV/atom


15.
# CsK2HfCl8

A relaxed CsK2HfCl8 crystal (GGA-PBE, the Alexandria database).

Unit cell a=7.1000 b=5.7228 c=9.5262 alpha=72.72 beta=90.13 gamma=90.07
Fractional coordinates of all 12 atoms:
Cs 0.0000 0.0000 0.5000
K 0.4988 0.3484 0.8078
K 0.5012 0.6516 0.1922
Hf 0.0000 0.0000 0.0000
Cl 0.9999 0.6511 0.2269
Cl 0.7515 0.8176 0.8862
Cl 0.7516 0.1824 0.1132
Cl 0.0001 0.3489 0.7731
Cl 0.2485 0.1824 0.1138
Cl 0.2484 0.8176 0.8868
Cl 0.5001 0.7540 0.5005
Cl 0.4999 0.2460 0.4995

Values from the calculation:
- Total magnetization: 0.000 μB per cell
- Formation energy without anion corrections: -1.788 eV/atom


16.
# Cs2KHfCl6

A relaxed Cs2KHfCl6 crystal (GGA-PBE, the Alexandria database).

Unit cell a=7.8435 b=7.8435 c=7.8435 alpha=60.00 beta=60.00 gamma=90.00
Last column: magnetic moment on the atom in μB.
Fractional coordinates of all 10 atoms:
Cs 0.7500 0.2500 0.5000  0.00
Cs 0.2500 0.7500 0.5000  0.00
K 0.5000 0.5000 0.0000  0.00
Hf 0.0000 0.0000 0.0000  0.65
Cl 0.2274 0.2274 0.5452  0.00
Cl 0.7726 0.7726 0.4548  0.00
Cl 0.2274 0.2274 0.0000  0.00
Cl 0.7726 0.7726 0.0000  0.00
Cl 0.7726 0.2274 0.0000  -0.01
Cl 0.2274 0.7726 0.0000  -0.01

Values from the calculation:
- Relative energy among the computed polymorphs: 0.00 kcal/mol of atoms
- Total magnetization: 1.000 μB per cell
- Formation energy without anion corrections: -1.860 eV/atom


17.
# CsLiHfCl6

A relaxed CsLiHfCl6 crystal (GGA-PBE, the Alexandria database).

Unit cell a=6.6823 b=6.6823 c=15.5220 alpha=90.00 beta=90.00 gamma=120.00
Fractional coordinates of all 18 atoms:
Cs 0.0000 0.0000 0.0000
Cs 0.0000 0.0000 0.5000
Li 0.3333 0.6667 0.2500
Li 0.6667 0.3333 0.7500
Hf 0.6667 0.3333 0.2500
Hf 0.3333 0.6667 0.7500
Cl 0.6309 0.6146 0.1578
Cl 0.9837 0.3691 0.1578
Cl 0.3691 0.9837 0.6578
Cl 0.0163 0.6309 0.8422
Cl 0.3854 0.3691 0.3422
Cl 0.9837 0.6146 0.3422
Cl 0.6146 0.9837 0.8422
Cl 0.6309 0.0163 0.3422
Cl 0.0163 0.3854 0.6578
Cl 0.3854 0.0163 0.1578
Cl 0.6146 0.6309 0.6578
Cl 0.3691 0.3854 0.8422

Values from the calculation:
- Total magnetization: 0.000 μB per cell
- Formation energy without anion corrections: -1.929 eV/atom


18.
# Cs2LiHfCl6

A relaxed Cs2LiHfCl6 crystal (GGA-PBE, the Alexandria database).

Unit cell a=7.4686 b=7.4686 c=12.8446 alpha=73.10 beta=73.10 gamma=60.00
Last column: magnetic moment on the atom in μB.
Fractional coordinates of all 20 atoms:
Cs 0.8746 0.8746 0.3761  0.00
Cs 0.1254 0.1254 0.6239  0.00
Cs 0.7097 0.7097 0.8708  0.00
Cs 0.2903 0.2903 0.1292  0.00
Li 0.5869 0.5869 0.2392  0.00
Li 0.4131 0.4131 0.7608  0.00
Hf 0.0000 0.0000 0.0000  0.67
Hf 0.5000 0.5000 0.5000  0.65
Cl 0.8553 0.3843 0.3762  0.00
Cl 0.3843 0.8553 0.3762  0.00
Cl 0.3843 0.3843 0.3762  0.00
Cl 0.1447 0.6157 0.6238  0.00
Cl 0.6157 0.1447 0.6238  0.00
Cl 0.6157 0.6157 0.6238  0.00
Cl 0.7168 0.2011 0.8809  0.00
Cl 0.2011 0.7168 0.8809  0.00
Cl 0.2011 0.2011 0.8809  0.00
Cl 0.2832 0.7989 0.1191  0.00
Cl 0.7989 0.2832 0.1191  0.00
Cl 0.7989 0.7989 0.1191  0.00

Values from the calculation:
- Total magnetization: 2.005 μB per cell
- Formation energy without anion corrections: -1.831 eV/atom


19.
# Cs2LiHfCl

A relaxed Cs2LiHfCl crystal (GGA-PBE, the Alexandria database).

Unit cell a=7.0570 b=5.3954 c=7.0570 alpha=90.00 beta=90.00 gamma=90.00
Last column: magnetic moment on the atom in μB.
Fractional coordinates of all 5 atoms:
Cs 0.0000 0.0000 0.5000  0.05
Cs 0.5000 0.0000 0.0000  0.05
Li 0.0000 0.0000 0.0000  0.09
Hf 0.0000 0.5000 0.0000  1.60
Cl 0.5000 0.5000 0.5000  0.01

Values from the calculation:
- Total magnetization: 3.953 μB per cell
- Formation energy without anion corrections: 0.515 eV/atom


20.
# Cs2HfMgCl6

A relaxed Cs2HfMgCl6 crystal (GGA-PBE, the Alexandria database).

Unit cell a=7.3149 b=7.3149 c=7.3158 alpha=60.00 beta=60.00 gamma=90.00
Last column: magnetic moment on the atom in μB.
Fractional coordinates of all 10 atoms:
Cs 0.7500 0.2500 0.5000  0.00
Cs 0.2500 0.7500 0.5000  0.00
Mg 0.5000 0.5000 0.0000  0.00
Hf 0.0000 0.0000 0.0000  1.22
Cl 0.2531 0.2531 0.4937  0.00
Cl 0.7469 0.7469 0.5063  0.00
Cl 0.2532 0.2532 0.0000  0.00
Cl 0.7468 0.7468 0.0000  0.00
Cl 0.7468 0.2532 0.0000  0.00
Cl 0.2532 0.7468 0.0000  0.00

Values from the calculation:
- Total magnetization: 2.000 μB per cell
- Formation energy without anion corrections: -1.606 eV/atom